DFT (PBE-GGA) results for a relaxed structure of Tb2HgPb4.

* distance to the lowest polymorph of the same formula: 0.1944 eV/atom
* formation energy: -0.7 eV/f.u.
* DOS at the Fermi energy: 5.56 states/eV/cell

```
7
Lattice="-0.280 0.632 3.481 -7.961 -2.263 -0.230 5.413 -6.209 -0.246" Properties=species:S:1:pos:R:3 pbc="T T T"
Tb -3.937 -4.964 2.393
Tb 1.108 -2.877 0.611
Hg 0.000 0.000 0.000
Pb 1.975 -5.280 2.927
Pb -4.803 -2.560 0.078
Pb -1.895 -2.357 2.085
Pb -0.934 -5.483 0.920
```

=====

DFT (PBE-GGA) results for a relaxed structure of Tb3Hg2Pb.

* distance to the lowest polymorph of the same formula: 0.0000 eV/atom
* formation energy: -2.8 eV/f.u.
* DOS at the Fermi energy: 5.76 states/eV/cell

```
6
Lattice="-3.012 0.630 2.214 -1.446 -5.080 -0.521 5.078 0.637 6.727" Properties=species:S:1:pos:R:3 pbc="T T T"
Tb -2.229 -2.225 0.846
Tb 0.649 -3.483 5.119
Tb -0.029 -0.330 3.300
Hg 2.850 -1.245 4.232
Hg 0.782 -3.198 1.974
Pb 0.000 0.000 0.000
```

=====

DFT (PBE-GGA) results for a relaxed structure of Tb6Hg4Pb7.

* formation energy: -2.4 eV/f.u.
* DOS at the Fermi energy: 18.52 states/eV/cell

```
17
Lattice="8.176 0.000 -2.891 -4.088 7.081 -2.891 0.000 0.000 8.672" Properties=species:S:1:pos:R:3 pbc="T T T"
Tb 5.755 0.000 4.070
Tb 2.878 4.984 -4.070
Tb -1.210 2.097 1.712
Tb 2.421 0.000 1.712
Tb 1.210 2.097 -1.712
Tb -2.878 4.984 4.070
Hg 4.088 0.000 -1.445
Hg 2.044 3.540 1.445
Hg -2.044 3.540 -1.445
Hg 0.000 0.000 4.336
Pb 4.088 3.540 -1.445
Pb -1.022 5.310 1.445
Pb 1.022 5.310 -1.445
Pb 5.110 1.770 1.445
Pb 0.000 3.540 4.336
Pb 3.066 1.770 4.336
Pb 0.000 0.000 0.000
```

=====

DFT (PBE-GGA) results for a relaxed structure of Tb2HgPb.

* formation energy: -1.9 eV/f.u.
* DOS at the Fermi energy: 4.41 states/eV/cell

```
4
Lattice="4.148 0.000 0.000 0.000 5.119 0.000 0.000 0.000 5.119" Properties=species:S:1:pos:R:3 pbc="T T T"
Pb 2.074 0.000 0.000
Tb 0.000 0.000 2.559
Tb 0.000 2.559 0.000
Hg 2.074 2.559 2.559
```

=====

DFT (PBE-GGA) results for a relaxed structure of Tb5Hg2Pb2.

* formation energy: -4.0 eV/f.u.
* DOS at the Fermi energy: 20.87 states/eV/cell

```
18
Lattice="7.887 0.000 0.000 0.000 8.334 0.000 0.000 -4.167 7.966" Properties=species:S:1:pos:R:3 pbc="T T T"
Tb 0.000 0.000 0.000
Tb 3.943 4.167 0.000
Tb 6.594 5.618 2.154
Tb 1.293 2.717 2.154
Tb 2.651 6.884 2.154
Tb 5.236 1.450 2.154
Tb 1.293 -1.450 5.813
Tb 6.594 1.450 5.813
Tb 5.236 -2.717 5.813
Tb 2.651 2.717 5.813
Hg 4.975 7.232 0.000
Hg 2.911 1.102 0.000
Hg 1.032 5.269 0.000
Hg 6.855 3.065 0.000
Pb 0.000 0.000 3.315
Pb 3.943 4.167 3.315
Pb 0.000 4.167 4.652
Pb 3.943 0.000 4.652
```

=====

DFT (PBE-GGA) results for a relaxed structure of TbHg2Pb.

* formation energy: -1.4 eV/f.u.
* DOS at the Fermi energy: 1.63 states/eV/cell

```
4
Lattice="-4.087 -2.190 1.471 2.071 -1.245 3.902 -1.381 3.905 1.978" Properties=species:S:1:pos:R:3 pbc="T T T"
Pb -2.044 -1.095 0.735
Tb -1.698 0.235 3.676
Hg -0.690 1.952 0.989
Hg 1.036 -0.622 1.951
```

=====

DFT (PBE-GGA) results for a relaxed structure of TbHg3Pb.

* distance to the lowest polymorph of the same formula: 0.0036 eV/atom
* formation energy: -1.1 eV/f.u.
* DOS at the Fermi energy: 3.56 states/eV/cell

```
10
Lattice="-1.474 0.651 4.275 6.895 -5.945 0.842 3.092 5.915 0.166" Properties=species:S:1:pos:R:3 pbc="T T T"
Tb 6.876 1.580 4.572
Tb 1.637 -0.959 0.711
Hg 2.947 2.126 0.693
Hg 5.566 -1.505 4.590
Hg 4.260 -2.420 1.838
Hg 4.253 3.041 3.445
Hg 5.627 0.557 1.856
Hg 2.886 0.064 3.427
Pb 0.028 1.710 2.191
Pb 8.485 -1.089 3.092
```

=====

DFT (PBE-GGA) results for a relaxed structure of Tb3Hg4Pb.

* distance to the lowest polymorph of the same formula: 0.1115 eV/atom
* formation energy: -2.4 eV/f.u.
* DOS at the Fermi energy: 5.78 states/eV/cell

```
8
Lattice="-3.163 -1.588 -0.540 -0.348 -1.968 7.831 -1.824 8.327 -1.935" Properties=species:S:1:pos:R:3 pbc="T T T"
Tb -0.174 -0.984 3.915
Tb -1.316 2.433 0.551
Tb -4.020 2.337 4.805
Hg -2.602 4.248 2.751
Hg -2.733 0.523 2.605
Hg -2.804 -0.351 5.590
Hg -2.531 5.121 -0.234
Pb -1.581 -0.794 -0.270
```

=====

DFT (PBE-GGA) results for a relaxed structure of Tb2HgPb.

* formation energy: -1.2 eV/f.u.
* DOS at the Fermi energy: 2.49 states/eV/cell

```
4
Lattice="-1.686 -3.854 -1.622 2.782 -3.280 -1.351 0.320 -5.118 5.571" Properties=species:S:1:pos:R:3 pbc="T T T"
Tb 0.331 -4.470 4.017
Tb 0.354 -3.017 0.545
Hg 0.708 -6.125 1.298
Pb 0.730 -4.765 -1.963
```

=====

DFT (PBE-GGA) results for a relaxed structure of Tb2Hg3Pb.

* distance to the lowest polymorph of the same formula: 0.0000 eV/atom
* formation energy: -2.3 eV/f.u.
* DOS at the Fermi energy: 7.56 states/eV/cell

```
24
Lattice="7.516 0.000 0.000 0.000 8.496 -4.905 0.000 0.000 9.811" Properties=species:S:1:pos:R:3 pbc="T T T"
Tb 1.879 0.000 0.000
Tb 5.637 0.000 0.000
Tb 1.879 4.205 7.284
Tb 1.879 4.205 2.527
Tb 1.879 0.085 4.905
Tb 5.637 4.291 -2.379
Tb 5.637 4.291 2.379
Tb 5.637 8.411 0.000
Hg 7.139 7.110 2.504
Hg 7.139 7.110 -2.504
Hg 7.139 2.773 0.000
Hg 0.376 1.387 2.402
Hg 0.376 1.387 7.409
Hg 0.376 5.723 4.905
Hg 3.381 1.387 2.402
Hg 3.381 1.387 7.409
Hg 3.381 5.723 4.905
Hg 4.134 7.110 2.504
Hg 4.134 7.110 -2.504
Hg 4.134 2.773 0.000
Pb 0.254 5.664 0.000
Pb 7.261 2.832 4.905
Pb 4.012 2.832 4.905
Pb 3.504 5.664 0.000
```

=====

DFT (PBE-GGA) results for a relaxed structure of Tb3Hg4Pb.

* distance to the lowest polymorph of the same formula: 0.0000 eV/atom
* formation energy: -3.3 eV/f.u.
* DOS at the Fermi energy: 5.26 states/eV/cell

```
8
Lattice="5.035 0.000 1.486 2.298 4.480 1.486 -0.001 -0.001 9.275" Properties=species:S:1:pos:R:3 pbc="T T T"
Pb 0.000 0.000 0.000
Tb 1.878 1.147 2.910
Tb 5.454 3.332 9.337
Tb 3.666 2.239 6.123
Hg 6.364 3.888 6.255
Hg 2.795 1.707 9.073
Hg 0.968 0.591 5.992
Hg 4.537 2.771 3.173
```

=====

DFT (PBE-GGA) results for a relaxed structure of Tb3Hg5Pb.

* formation energy: -3.6 eV/f.u.
* DOS at the Fermi energy: 11.15 states/eV/cell

```
18
Lattice="6.451 0.000 0.000 0.000 9.048 0.000 0.000 -4.524 7.836" Properties=species:S:1:pos:R:3 pbc="T T T"
Tb 4.838 1.529 2.648
Tb 4.838 -2.995 5.188
Tb 4.838 5.990 0.000
Tb 1.613 2.995 5.188
Tb 1.613 7.519 2.648
Tb 1.613 3.058 0.000
Hg 0.000 4.524 2.612
Hg 3.225 0.000 5.224
Hg 0.000 0.000 5.224
Hg 3.225 4.524 2.612
Hg 4.838 3.004 5.203
Hg 4.838 -1.520 2.633
Hg 4.838 3.040 0.000
Hg 1.613 1.520 2.633
Hg 1.613 6.044 5.203
Hg 1.613 6.008 0.000
Pb 0.000 0.000 0.000
Pb 3.225 0.000 0.000
```

=====

- Number 10 is which compound?
  Tb2Hg3Pb

=====

- Which of these has the highest DOS at the Fermi energy?
  Tb5Hg2Pb2

=====

- DOS at the Fermi energy of number 3 (Tb6Hg4Pb7)?
  18.52 states/eV/cell

=====

- Which of these has the highest formation energy?
  Tb2HgPb4